Entry from OQMD: a relaxed Lu2ScSn2 crystal (GGA-PBE).

abc: 6.1569 6.1569 6.1569
angles: 126.58 126.58 78.94
Positions (direct):
1 Lu 0.1696 0.1696 0.0000
2 Lu 0.8304 0.8304 0.0000
3 Sc 0.5000 0.5000 0.0000
4 Sn 0.0000 0.5000 0.5000
5 Sn 0.5000 0.0000 0.5000



Entry from OQMD: a relaxed NaYHf crystal (GGA-PBE).

Results
Distance to the lowest polymorph of the same formula = 0 meV/atom

abc: 5.2120 5.2120 5.2120
angles: 60.00 60.00 60.00
Positions (direct):
1 Na 0.0000 0.0000 0.0000
2 Y 0.5000 0.5000 0.5000
3 Hf 0.2500 0.2500 0.2500



Entry from OQMD: a relaxed NpAlTc crystal (GGA-PBE).

abc: 4.3940 4.3940 4.3940
angles: 60.00 60.00 60.00
Positions (direct):
1 Np 0.0000 0.0000 0.0000
2 Al 0.2500 0.2500 0.2500
3 Tc 0.5000 0.5000 0.5000



Entry from OQMD: a relaxed CdSb2Ir crystal (GGA-PBE).

abc: 4.9526 4.9526 4.9526
angles: 60.00 60.00 60.00
Positions (direct):
1 Cd 0.0000 0.0000 0.0000
2 Sb 0.5000 0.5000 0.5000
3 Sb 0.7500 0.7500 0.7500
4 Ir 0.2500 0.2500 0.2500



Entry from OQMD: a relaxed TcAsPb crystal (GGA-PBE).

abc: 4.5101 4.5101 4.5101
angles: 60.00 60.00 60.00
Positions (direct):
1 Tc 0.0000 0.0000 0.0000
2 As 0.7500 0.7500 0.7500
3 Pb 0.2500 0.2500 0.2500



Entry from OQMD: a relaxed Li2TaHg crystal (GGA-PBE).

abc: 4.5675 4.5675 4.5675
angles: 60.00 60.00 60.00
Positions (direct):
1 Li 0.0000 0.0000 0.0000
2 Li 0.2500 0.2500 0.2500
3 Ta 0.5000 0.5000 0.5000
4 Hg 0.7500 0.7500 0.7500



Entry from OQMD: a relaxed Dy2CuSi crystal (GGA-PBE).

abc: 5.6424 3.8687 7.9032
angles: 90.00 91.23 90.00
Positions (direct):
1 Dy 0.1193 0.2500 0.3231
2 Dy 0.3763 0.2500 0.8180
3 Dy 0.6237 0.7500 0.1820
4 Dy 0.8807 0.7500 0.6769
5 Cu 0.3755 0.7500 0.5342
6 Cu 0.6245 0.2500 0.4658
7 Si 0.1286 0.7500 0.0365
8 Si 0.8714 0.2500 0.9635



Entry from OQMD: a relaxed La2Cd4IrAu crystal (GGA-PBE).

Results
E_form = -47.5 kJ/mol of atoms

abc: 8.5789 5.5536 5.5536
angles: 45.94 90.00 90.00
Positions (direct):
1 La 0.0000 0.0000 0.0000
2 La 0.5000 0.1327 0.1327
3 Cd 0.2082 0.7084 0.7084
4 Cd 0.3033 0.4227 0.4227
5 Cd 0.6967 0.4227 0.4227
6 Cd 0.7918 0.7084 0.7084
7 Ir 0.5000 0.8457 0.8457
8 Au 0.0000 0.2916 0.2916



Entry from OQMD: a relaxed ThSb crystal (GGA-PBE).

abc: 5.0088 5.0088 5.0088
angles: 60.00 60.00 60.00
Positions (direct):
1 Th 0.0000 0.0000 0.0000
2 Sb 0.2500 0.2500 0.2500



Entry from OQMD: a relaxed TmPaPO crystal (GGA-PBE).

Results
Distance to the lowest polymorph of the same formula = 44 meV/atom

abc: 4.1192 7.6018 5.7649
angles: 90.00 90.00 90.00
Positions (direct):
1 Tm 0.0000 0.1115 0.0000
2 Tm 0.0000 0.8885 0.5000
3 Pa 0.5000 0.3000 0.4563
4 Pa 0.5000 0.7000 0.9563
5 P 0.5000 0.3375 0.9585
6 P 0.5000 0.6625 0.4585
7 O 0.0000 0.1684 0.3896
8 O 0.0000 0.8316 0.8896



Entry from OQMD: a relaxed HoThAg crystal (GGA-PBE).

Results
E_form = 22.1 kJ/mol of atoms
Distance to the lowest polymorph of the same formula = 0 meV/atom

abc: 5.0490 5.0490 5.0490
angles: 60.00 60.00 60.00
Positions (direct):
1 Ho 0.0000 0.0000 0.0000
2 Th 0.5000 0.5000 0.5000
3 Ag 0.2500 0.2500 0.2500



Entry from OQMD: a relaxed PuSi2Pd crystal (GGA-PBE).

abc: 7.2210 3.9468 9.9931
angles: 90.00 90.00 90.00
Positions (direct):
1 Pu 0.1352 0.2500 0.1307
2 Pu 0.3648 0.7500 0.6307
3 Pu 0.6352 0.2500 0.3693
4 Pu 0.8648 0.7500 0.8693
5 Si 0.1596 0.2500 0.8182
6 Si 0.2268 0.2500 0.4313
7 Si 0.2732 0.7500 0.9313
8 Si 0.3404 0.7500 0.3182
9 Si 0.6596 0.2500 0.6818
10 Si 0.7268 0.2500 0.0687
11 Si 0.7732 0.7500 0.5687
12 Si 0.8404 0.7500 0.1818
13 Pd 0.0062 0.7500 0.3899
14 Pd 0.4938 0.2500 0.8899
15 Pd 0.5062 0.7500 0.1101
16 Pd 0.9938 0.2500 0.6101



Entry from OQMD: a relaxed ScZnGaNi crystal (GGA-PBE).

Results
Distance to the lowest polymorph of the same formula = 0 meV/atom

abc: 4.3772 4.3772 4.3772
angles: 60.00 60.00 60.00
Positions (direct):
1 Sc 0.0000 0.0000 0.0000
2 Zn 0.7500 0.7500 0.7500
3 Ga 0.5000 0.5000 0.5000
4 Ni 0.2500 0.2500 0.2500



Entry from OQMD: a relaxed DyZr2O4 crystal (GGA-PBE).

abc: 6.5483 6.5483 6.5483
angles: 60.00 60.00 60.00
Positions (direct):
1 Dy 0.1250 0.1250 0.1250
2 Dy 0.8750 0.8750 0.8750
3 Zr 0.0000 0.5000 0.5000
4 Zr 0.5000 0.0000 0.5000
5 Zr 0.5000 0.5000 0.0000
6 Zr 0.5000 0.5000 0.5000
7 O 0.2574 0.2574 0.2574
8 O 0.2574 0.2574 0.7278
9 O 0.2574 0.7278 0.2574
10 O 0.2722 0.7426 0.7426
11 O 0.7278 0.2574 0.2574
12 O 0.7426 0.2722 0.7426
13 O 0.7426 0.7426 0.2722
14 O 0.7426 0.7426 0.7426



Entry from OQMD: a relaxed Gd3Mg3Pt2Au crystal (GGA-PBE).

abc: 7.4796 7.4796 4.0827
angles: 90.00 90.00 120.00
Positions (direct):
1 Gd 0.0000 0.5830 0.0000
2 Gd 0.4170 0.4170 0.0000
3 Gd 0.5830 0.0000 0.0000
4 Mg 0.0000 0.2501 0.5000
5 Mg 0.2501 0.0000 0.5000
6 Mg 0.7499 0.7499 0.5000
7 Pt 0.3333 0.6667 0.5000
8 Pt 0.6667 0.3333 0.5000
9 Au 0.0000 0.0000 0.0000



Entry from OQMD: a relaxed HfCdFeBi crystal (GGA-PBE).

Results
Distance to the lowest polymorph of the same formula = 3 meV/atom

abc: 4.8684 4.8684 4.8684
angles: 60.00 60.00 60.00
Positions (direct):
1 Hf 0.0000 0.0000 0.0000
2 Cd 0.7500 0.7500 0.7500
3 Fe 0.5000 0.5000 0.5000
4 Bi 0.2500 0.2500 0.2500



Entry from OQMD: a relaxed NaFeCuTe3 crystal (GGA-PBE).

Results
Distance to the lowest polymorph of the same formula = 46 meV/atom

abc: 7.2033 7.2033 10.5150
angles: 90.00 90.00 148.73
Positions (direct):
1 Na 0.2322 0.7678 0.7500
2 Na 0.7678 0.2322 0.2500
3 Fe 0.0000 0.0000 0.0000
4 Fe 0.0000 0.0000 0.5000
5 Cu 0.4514 0.5486 0.2500
6 Cu 0.5486 0.4514 0.7500
7 Te 0.0734 0.9266 0.2500
8 Te 0.3726 0.6274 0.0310
9 Te 0.3726 0.6274 0.4690
10 Te 0.6274 0.3726 0.5310
11 Te 0.6274 0.3726 0.9690
12 Te 0.9266 0.0734 0.7500



Entry from OQMD: a relaxed PaTaNO crystal (GGA-PBE).

Results
Distance to the lowest polymorph of the same formula = 0 meV/atom

abc: 5.6616 8.0976 5.4840
angles: 90.00 90.00 90.00
Positions (direct):
1 Pa 0.0210 0.1643 0.0000
2 Pa 0.4790 0.1643 0.5000
3 Pa 0.5210 0.8357 0.0000
4 Pa 0.9790 0.8357 0.5000
5 Ta 0.1062 0.4733 0.6726
6 Ta 0.3938 0.4733 0.1726
7 Ta 0.6062 0.5267 0.6726
8 Ta 0.8938 0.5267 0.1726
9 N 0.1075 0.3364 0.3459
10 N 0.3925 0.3364 0.8459
11 N 0.6075 0.6636 0.3459
12 N 0.8925 0.6636 0.8459
13 O 0.2479 0.9848 0.7432
14 O 0.2521 0.9848 0.2432
15 O 0.7479 0.0152 0.7432
16 O 0.7521 0.0152 0.2432



Entry from OQMD: a relaxed SmTmTlTe3 crystal (GGA-PBE).

Results
Distance to the lowest polymorph of the same formula = 0 meV/atom

abc: 8.0290 8.0290 12.1288
angles: 90.00 90.00 147.49
Positions (direct):
1 Sm 0.0000 0.0000 0.0000
2 Sm 0.0000 0.0000 0.5000
3 Tm 0.4431 0.5569 0.7500
4 Tm 0.5569 0.4431 0.2500
5 Tl 0.2505 0.7495 0.2500
6 Tl 0.7495 0.2505 0.7500
7 Te 0.0673 0.9327 0.7500
8 Te 0.3563 0.6437 0.5377
9 Te 0.3563 0.6437 0.9623
10 Te 0.6437 0.3563 0.0377
11 Te 0.6437 0.3563 0.4623
12 Te 0.9327 0.0673 0.2500



Entry from OQMD: a relaxed PmZnSn crystal (GGA-PBE).

Results
Distance to the lowest polymorph of the same formula = 119 meV/atom

abc: 4.7501 4.7501 4.7501
angles: 60.00 60.00 60.00
Positions (direct):
1 Pm 0.0000 0.0000 0.0000
2 Zn 0.2500 0.2500 0.2500
3 Sn 0.5000 0.5000 0.5000



Number 1: mass density 7.21 g cm⁻³, total energy -23.67 eV per formula unit, total moment 0.977 μB per cell. Number 2: mass density 4.82 g cm⁻³, total energy -13.65 eV per formula unit, total moment 0.864 μB per cell. Number 3: mass density 10.02 g cm⁻³, total energy -25.14 eV per formula unit, total moment 3.374 μB per cell. Number 4: mass density 10.60 g cm⁻³, total energy -16.15 eV per formula unit, total moment 0.010 μB per cell. Number 5: mass density 9.73 g cm⁻³, total energy -17.17 eV per formula unit, total moment 0.015 μB per cell. Number 6: mass density 9.75 g cm⁻³, total energy -14.31 eV per formula unit, total moment 0.410 μB per cell. Number 7: mass density 8.02 g cm⁻³, total energy -20.37 eV per formula unit, total moment 0.001 μB per cell. Number 8: mass density 9.75 g cm⁻³, total energy -29.49 eV per formula unit, total moment 0.001 μB per cell. Number 9: mass density 6.61 g cm⁻³, total energy -11.65 eV per formula unit, total moment 0.002 μB per cell. Number 10: mass density 8.22 g cm⁻³, total energy -29.68 eV per formula unit, total moment 2.064 μB per cell. Number 11: mass density 9.21 g cm⁻³, total energy -14.13 eV per formula unit, total moment 0.386 μB per cell. Number 12: mass density 9.48 g cm⁻³, total energy -33.01 eV per formula unit, total moment 20.624 μB per cell. Number 13: mass density 6.69 g cm⁻³, total energy -17.94 eV per formula unit, total moment 0.001 μB per cell. Number 14: mass density 6.84 g cm⁻³, total energy -61.24 eV per formula unit, total moment 0.001 μB per cell. Number 15: mass density 9.50 g cm⁻³, total energy -41.73 eV per formula unit, total moment 0.013 μB per cell. Number 16: mass density 11.31 g cm⁻³, total energy -21.52 eV per formula unit, total moment 1.576 μB per cell. Number 17: mass density 6.16 g cm⁻³, total energy -23.91 eV per formula unit, total moment 3.996 μB per cell. Number 18: mass density 11.68 g cm⁻³, total energy -39.76 eV per formula unit, total moment 4.065 μB per cell. Number 19: mass density 7.16 g cm⁻³, total energy -26.82 eV per formula unit, total moment 0.058 μB per cell. Number 20: mass density 7.21 g cm⁻³, total energy -11.39 eV per formula unit, total moment 0.001 μB per cell.